First-principles (PBE-GGA) data for an optimized crystal structure of CuSb2Pt, as listed in the Alexandria database.

## Properties
ΔE_f (raw): 0.0727 eV/atom
SG: Pmmm, No. 47

a = 3.7461 Å, b = 4.5223 Å, c = 4.6574 Å
α = 90.00°, β = 90.00°, γ = 90.00°
Closest atoms and distances in Å follow each position.
Atoms (fractional coordinates):
Cu  0.0000  0.0000  0.0000  8 Sb 2.94-2.99, 4 Pt 3.25
Sb  0.5000  0.0000  0.5000  4 Pt 2.94, 4 Cu 2.99, 4 Sb 3.25
Sb  0.5000  0.5000  0.0000  4 Cu 2.94, 4 Pt 2.99, 4 Sb 3.25
Pt  0.0000  0.5000  0.5000  8 Sb 2.94-2.99, 4 Cu 3.25

***

First-principles (PBE-GGA) data for an optimized crystal structure of La5Cd2O2, as listed in the Alexandria database.

## Properties
ΔE_f (raw): -1.3598 eV/atom
SG: Imma, No. 74

a = 10.7202 Å, b = 10.7202 Å, c = 10.7202 Å
α = 140.05°, β = 58.03°, γ = 139.72°
Closest atoms and distances in Å follow each position.
Atoms (fractional coordinates):
La  0.0000  0.0000  0.5000  2 O 2.43
La  0.0000  0.5000  0.0000  2 O 2.43
La  0.2224  0.0858  0.1366  1 O 2.30
La  0.2319  0.0000  0.7319  2 O 2.62
La  0.2319  0.5000  0.2319  2 O 2.62
La  0.4491  0.0858  0.3634  1 O 2.30
La  0.5509  0.9142  0.6366  1 O 2.30
La  0.7681  0.0000  0.2681  2 O 2.62
La  0.7681  0.5000  0.7681  2 O 2.62
La  0.7776  0.9142  0.8634  1 O 2.30
Cd  0.1123  0.4839  0.6284  5 La 3.18-3.40
Cd  0.3555  0.4839  0.8716  5 La 3.18-3.40
Cd  0.6445  0.5161  0.1284  5 La 3.18-3.40
Cd  0.8877  0.5161  0.3716  5 La 3.18-3.40
O  0.0000  0.0000  0.0000  6 La 2.62-2.64
O  0.2165  0.9665  0.2500  4 La 2.30-2.43
O  0.5000  0.0000  0.5000  6 La 2.62-2.64
O  0.7835  0.0335  0.7500  4 La 2.30-2.43

***

First-principles (PBE-GGA) data for an optimized crystal structure of PmErIn4, as listed in the Alexandria database.

## Properties
E_form: -0.2782 eV/atom
SG: C2/m, No. 12

a = 3.6226 Å, b = 3.6226 Å, c = 12.2332 Å
α = 90.01°, β = 90.01°, γ = 86.05°
Closest atoms and distances in Å follow each position.
Atoms (fractional coordinates):
Pm  0.0000  0.0000  0.0000  8 In 3.30-3.44, 4 Pm 3.62
Er  0.5000  0.5000  0.5000  8 In 3.22-3.36
In  0.0006  0.0006  0.3309  4 In 3.09-3.24, 4 Er 3.22-3.36
In  0.4990  0.4990  0.8208  4 In 3.09-3.24, 4 Pm 3.30-3.44
In  0.5010  0.5010  0.1792  4 In 3.09-3.24, 4 Pm 3.30-3.44
In  0.9994  0.9994  0.6691  4 In 3.09-3.24, 4 Er 3.22-3.36

***

First-principles (PBE-GGA) data for an optimized crystal structure of Sm2Pt4Au, as listed in the Alexandria database.

## Properties
E_form: -0.8578 eV/atom
SG: I4/mmm, No. 139

a = 9.5600 Å, b = 9.5600 Å, c = 9.5600 Å
α = 155.46°, β = 155.46°, γ = 34.99°
Closest atoms and distances in Å follow each position.
Atoms (fractional coordinates):
Sm  0.1165  0.1165  0.0000  8 Pt 2.92-3.17
Sm  0.8835  0.8835  0.0000  8 Pt 2.92-3.17
Pt  0.2500  0.7500  0.5000  8 Pt 2.79-2.87
Pt  0.3550  0.3550  0.0000  1 Au 2.64, 4 Pt 2.79, 4 Sm 2.92
Pt  0.6450  0.6450  0.0000  1 Au 2.64, 4 Pt 2.79, 4 Sm 2.92
Pt  0.7500  0.2500  0.5000  8 Pt 2.79-2.87
Au  0.5000  0.5000  0.0000  2 Pt 2.64

***

First-principles (PBE-GGA) data for an optimized crystal structure of FeRuAu, as listed in the Alexandria database.

## Properties
E_form: 0.6007 eV/atom
SG: F-43m, No. 216

a = 4.1290 Å, b = 4.1290 Å, c = 4.1290 Å
α = 60.00°, β = 60.00°, γ = 60.00°
Closest atoms and distances in Å follow each position.
Atoms (fractional coordinates):
Fe  0.0000  0.0000  0.0000  4 Au 2.53, 4 Ru 2.53
Ru  0.2500  0.2500  0.2500  4 Fe 2.53
Au  0.7500  0.7500  0.7500  4 Fe 2.53

***

First-principles (PBE-GGA) data for an optimized crystal structure of Nd2Ho2Sc3, as listed in the Alexandria database.

## Properties
E_form: 0.1679 eV/atom
SG: P2_1/c, No. 14

a = 6.3464 Å, b = 6.6249 Å, c = 11.5069 Å
α = 90.00°, β = 121.38°, γ = 90.00°
Closest atoms and distances in Å follow each position.
Atoms (fractional coordinates):
Nd  0.0794  0.2305  0.1828  4 Sc 3.18-3.50, 3 Ho 3.36-3.43
Nd  0.0794  0.2695  0.6828  4 Sc 3.18-3.50, 3 Ho 3.36-3.43
Nd  0.9206  0.7305  0.3172  4 Sc 3.18-3.50, 3 Ho 3.36-3.43
Nd  0.9206  0.7695  0.8172  4 Sc 3.18-3.50, 3 Ho 3.36-3.43
Ho  0.3116  0.7423  0.6965  5 Sc 3.20-3.49, 3 Nd 3.36-3.43
Ho  0.3116  0.7577  0.1965  5 Sc 3.20-3.49, 3 Nd 3.36-3.43
Ho  0.6884  0.2423  0.8035  5 Sc 3.20-3.49, 3 Nd 3.36-3.43
Ho  0.6884  0.2577  0.3035  5 Sc 3.20-3.49, 3 Nd 3.36-3.43
Sc  0.2786  0.0892  0.4936  2 Sc 2.98-3.05, 3 Nd 3.18-3.26, 2 Ho 3.20-3.29
Sc  0.2786  0.4108  0.9936  2 Sc 2.98-3.05, 3 Nd 3.18-3.26, 2 Ho 3.20-3.29
Sc  0.5000  0.0000  0.0000  2 Sc 3.05
Sc  0.5000  0.5000  0.5000  2 Sc 3.05
Sc  0.7214  0.5892  0.0064  2 Sc 2.98-3.05, 3 Nd 3.18-3.26, 2 Ho 3.20-3.29
Sc  0.7214  0.9108  0.5064  2 Sc 2.98-3.05, 3 Nd 3.18-3.26, 2 Ho 3.20-3.29

***

First-principles (PBE-GGA) data for an optimized crystal structure of GdEr2Au, as listed in the Alexandria database.

## Properties
E_form: -0.0933 eV/atom
SG: R-3m, No. 166

a = 10.9934 Å, b = 10.9934 Å, c = 10.9934 Å
α = 18.85°, β = 18.85°, γ = 18.85°
Closest atoms and distances in Å follow each position.
Atoms (fractional coordinates):
Gd  0.0000  0.0000  0.0000  2 Er 3.35, 6 Gd 3.60
Er  0.1033  0.1033  0.1033  3 Au 2.92
Er  0.8967  0.8967  0.8967  3 Au 2.92
Au  0.5000  0.5000  0.5000  6 Er 2.92

***

First-principles (PBE-GGA) data for an optimized crystal structure of SrTcW2, as listed in the Alexandria database.

## Properties
E_form: 0.8289 eV/atom
SG: C2/m, No. 12

a = 5.2991 Å, b = 5.2991 Å, c = 5.6549 Å
α = 104.66°, β = 104.66°, γ = 34.84°
Closest atoms and distances in Å follow each position.
Atoms (fractional coordinates):
Sr  0.0000  0.0000  0.0000  2 Sr 3.17, 4 Tc 3.24, 6 W 3.30-3.49
Tc  0.5000  0.5000  0.5000  4 W 2.59
W  0.2088  0.2088  0.6401  2 W 2.53, 2 Tc 2.59
W  0.7912  0.7912  0.3599  2 W 2.53, 2 Tc 2.59

***

Number 1: volume 79 Å³ per cell. Number 2: volume 507 Å³ per cell. Number 3: volume 160 Å³ per cell. Number 4: volume 151 Å³ per cell. Number 5: volume 50 Å³ per cell. Number 6: volume 413 Å³ per cell. Number 7: volume 121 Å³ per cell. Number 8: volume 87 Å³ per cell.